{
  "formula": "Pr8ErCd2",
  "functional": "PBE",
  "state": "relaxed",
  "lattice_angstrom": [[5.260, 0.207, 0.177], [0.949, 8.971, 0.291], [0.949, 1.678, 8.817]],
  "species": ["Pr", "Pr", "Pr", "Pr", "Pr", "Pr", "Pr", "Pr", "Er", "Cd", "Cd"],
  "frac_coords": [[0.783, 0.156, 0.635], [0.217, 0.365, 0.844], [0.873, 0.240, 0.240], [0.127, 0.760, 0.760], [0.783, 0.635, 0.156], [0.217, 0.844, 0.365], [0.291, 0.416, 0.416], [0.709, 0.584, 0.584], [0.000, 0.000, 0.000], [0.453, 0.115, 0.115], [0.547, 0.885, 0.885]],
  "polymorph_energy_mev_per_atom": 326,
  "dos_ef_per_ev_atom": 1.414,
  "formation_energy_ev_per_atom": 0.25,
  "rho_g_cm3": 6.1
}

=====

{
  "formula": "Pr5Er4Cd",
  "functional": "PBE",
  "state": "relaxed",
  "lattice_angstrom": [[3.654, 0.000, 0.000], [0.000, 3.654, 0.000], [0.000, 0.000, 24.385]],
  "species": ["Pr", "Pr", "Pr", "Pr", "Pr", "Er", "Er", "Er", "Er", "Cd"],
  "frac_coords": [[0.500, 0.500, 0.089], [0.500, 0.500, 0.295], [0.500, 0.500, 0.500], [0.500, 0.500, 0.705], [0.500, 0.500, 0.911], [0.000, 0.000, 0.193], [0.000, 0.000, 0.397], [0.000, 0.000, 0.603], [0.000, 0.000, 0.807], [0.000, 0.000, 0.000]],
  "dos_ef_per_ev_atom": 1.380,
  "formation_energy_ev_per_atom": -0.04,
  "rho_g_cm3": 7.6
}

=====

{
  "formula": "Pr3ErCd4",
  "functional": "PBE",
  "state": "relaxed",
  "lattice_angstrom": [[-0.032, -3.650, 1.091], [2.848, -0.748, -2.418], [10.379, 3.262, 11.218]],
  "species": ["Pr", "Pr", "Pr", "Cd", "Cd", "Cd", "Cd", "Er"],
  "frac_coords": [[0.500, 0.500, 0.243], [0.500, 0.500, 0.500], [0.500, 0.500, 0.757], [0.000, 0.000, 0.888], [0.000, 0.000, 0.112], [0.000, 0.000, 0.373], [0.000, 0.000, 0.627], [0.500, 0.500, 0.000]],
  "dos_ef_per_ev_atom": 1.159,
  "formation_energy_ev_per_atom": -0.31,
  "rho_g_cm3": 7.6
}

=====

{
  "formula": "PrEr2Cd",
  "functional": "PBE",
  "state": "relaxed",
  "lattice_angstrom": [[-2.292, -4.892, -0.864], [0.738, -4.043, 3.612], [-4.165, -1.662, 3.135]],
  "species": ["Pr", "Cd", "Er", "Er"],
  "frac_coords": [[0.000, 0.000, 0.000], [0.500, 0.500, 0.500], [0.250, 0.250, 0.250], [0.750, 0.750, 0.750]],
  "polymorph_energy_mev_per_atom": 185,
  "dos_ef_per_ev_atom": 1.639,
  "formation_energy_ev_per_atom": 0.04,
  "rho_g_cm3": 8.4
}

=====

{
  "formula": "PrEr8Cd2",
  "functional": "PBE",
  "state": "relaxed",
  "lattice_angstrom": [[5.258, 0.228, 0.195], [0.914, 8.595, 0.433], [0.914, 1.760, 8.424]],
  "species": ["Pr", "Er", "Er", "Er", "Er", "Er", "Er", "Er", "Er", "Cd", "Cd"],
  "frac_coords": [[0.000, 0.000, 0.000], [0.789, 0.171, 0.636], [0.211, 0.364, 0.829], [0.885, 0.239, 0.239], [0.115, 0.761, 0.761], [0.789, 0.636, 0.171], [0.211, 0.829, 0.364], [0.291, 0.418, 0.418], [0.709, 0.582, 0.582], [0.441, 0.137, 0.137], [0.559, 0.863, 0.863]],
  "dos_ef_per_ev_atom": 1.619,
  "formation_energy_ev_per_atom": 0.34,
  "rho_g_cm3": 7.6
}

=====

{
  "formula": "Pr2ErCd4",
  "functional": "PBE",
  "state": "relaxed",
  "lattice_angstrom": [[-0.963, -0.622, -5.240], [0.517, -5.312, 0.535], [-6.813, 2.419, 3.710]],
  "species": ["Pr", "Pr", "Cd", "Cd", "Cd", "Cd", "Er"],
  "frac_coords": [[0.741, 0.741, 0.482], [0.259, 0.259, 0.518], [0.392, 0.892, 0.784], [0.892, 0.392, 0.784], [0.608, 0.108, 0.216], [0.108, 0.608, 0.216], [0.000, 0.000, 0.000]],
  "polymorph_energy_mev_per_atom": 0,
  "dos_ef_per_ev_atom": 0.776,
  "formation_energy_ev_per_atom": -0.17,
  "rho_g_cm3": 7.2
}

=====

{
  "formula": "PrErCd",
  "functional": "PBE",
  "state": "relaxed",
  "lattice_angstrom": [[-2.336, 1.385, 2.513], [-0.620, -4.827, 2.084], [3.824, 3.188, 1.798]],
  "species": ["Pr", "Cd", "Er"],
  "frac_coords": [[0.643, 0.667, 0.333], [0.263, 0.333, 0.667], [0.094, 0.000, 0.000]],
  "polymorph_energy_mev_per_atom": 119,
  "dos_ef_per_ev_atom": 1.462,
  "formation_energy_ev_per_atom": -0.07,
  "rho_g_cm3": 7.8
}

=====

{
  "formula": "PrErCd6",
  "functional": "PBE",
  "state": "relaxed",
  "lattice_angstrom": [[4.916, 0.000, 0.000], [0.000, 6.598, 0.156], [0.000, -2.782, 5.985]],
  "species": ["Pr", "Er", "Cd", "Cd", "Cd", "Cd", "Cd", "Cd"],
  "frac_coords": [[0.500, 0.386, 0.614], [0.000, 0.112, 0.888], [0.000, 0.055, 0.370], [0.000, 0.630, 0.945], [0.000, 0.581, 0.419], [0.500, 0.437, 0.127], [0.500, 0.873, 0.563], [0.500, 0.926, 0.074]],
  "dos_ef_per_ev_atom": 0.451,
  "formation_energy_ev_per_atom": -0.28,
  "rho_g_cm3": 8.3
}

=====

{
  "formula": "PrEr2Cd",
  "functional": "PBE",
  "state": "relaxed",
  "lattice_angstrom": [[3.592, 0.000, 0.000], [1.796, 3.111, 0.000], [1.796, 1.037, 10.799]],
  "species": ["Pr", "Cd", "Er", "Er"],
  "frac_coords": [[0.500, 0.500, 0.500], [0.000, 0.000, 0.000], [0.257, 0.257, 0.228], [0.743, 0.743, 0.772]],
  "polymorph_energy_mev_per_atom": 71,
  "dos_ef_per_ev_atom": 1.001,
  "formation_energy_ev_per_atom": -0.08,
  "rho_g_cm3": 8.1
}

=====

{
  "formula": "Pr3Er12Cd",
  "functional": "PBE",
  "state": "relaxed",
  "lattice_angstrom": [[-0.853, 4.763, -1.143], [-4.783, -0.560, 1.236], [4.247, 5.276, 18.823]],
  "species": ["Pr", "Pr", "Pr", "Er", "Er", "Er", "Er", "Er", "Er", "Er", "Er", "Er", "Er", "Er", "Er", "Cd"],
  "frac_coords": [[0.000, 0.000, 0.247], [0.000, 0.000, 0.500], [0.000, 0.000, 0.753], [0.500, 0.500, 0.000], [0.500, 0.500, 0.242], [0.500, 0.500, 0.500], [0.500, 0.500, 0.758], [0.500, 0.000, 0.119], [0.500, 0.000, 0.373], [0.500, 0.000, 0.627], [0.500, 0.000, 0.881], [0.000, 0.500, 0.119], [0.000, 0.500, 0.373], [0.000, 0.500, 0.627], [0.000, 0.500, 0.881], [0.000, 0.000, 0.000]],
  "dos_ef_per_ev_atom": 1.259,
  "formation_energy_ev_per_atom": 0.00,
  "rho_g_cm3": 8.5
}

=====

{
  "formula": "Pr2ErCd5",
  "functional": "PBE",
  "state": "relaxed",
  "lattice_angstrom": [[5.169, 0.000, 0.000], [0.000, 5.169, 0.000], [-2.584, -2.584, 7.789]],
  "species": ["Pr", "Pr", "Er", "Cd", "Cd", "Cd", "Cd", "Cd"],
  "frac_coords": [[0.738, 0.738, 0.477], [0.262, 0.262, 0.523], [0.000, 0.000, 0.000], [0.500, 0.500, 0.000], [0.888, 0.388, 0.775], [0.388, 0.888, 0.775], [0.112, 0.612, 0.225], [0.612, 0.112, 0.225]],
  "dos_ef_per_ev_atom": 0.668,
  "formation_energy_ev_per_atom": -0.29,
  "rho_g_cm3": 8.1
}

=====

{
  "formula": "PrEr5Cd4",
  "functional": "PBE",
  "state": "relaxed",
  "lattice_angstrom": [[3.682, 0.000, 0.000], [0.000, 3.682, 0.000], [0.000, 0.000, 20.128]],
  "species": ["Pr", "Er", "Er", "Er", "Er", "Er", "Cd", "Cd", "Cd", "Cd"],
  "frac_coords": [[0.000, 0.000, 0.000], [0.500, 0.500, 0.125], [0.500, 0.500, 0.313], [0.500, 0.500, 0.500], [0.500, 0.500, 0.687], [0.500, 0.500, 0.875], [0.000, 0.000, 0.219], [0.000, 0.000, 0.406], [0.000, 0.000, 0.594], [0.000, 0.000, 0.781]],
  "dos_ef_per_ev_atom": 1.160,
  "formation_energy_ev_per_atom": -0.24,
  "rho_g_cm3": 8.7
}

=====

{
  "formula": "PrEr2Cd4",
  "functional": "PBE",
  "state": "relaxed",
  "lattice_angstrom": [[-3.871, -1.629, 3.257], [1.492, -5.046, -0.750], [5.669, 3.833, 4.318]],
  "species": ["Pr", "Cd", "Cd", "Cd", "Cd", "Er", "Er"],
  "frac_coords": [[0.000, 0.000, 0.000], [0.376, 0.876, 0.752], [0.876, 0.376, 0.752], [0.624, 0.124, 0.248], [0.124, 0.624, 0.248], [0.744, 0.744, 0.488], [0.256, 0.256, 0.512]],
  "dos_ef_per_ev_atom": 0.715,
  "formation_energy_ev_per_atom": -0.14,
  "rho_g_cm3": 7.6
}

=====

{
  "formula": "Pr14ErCd",
  "functional": "PBE",
  "state": "relaxed",
  "lattice_angstrom": [[7.233, 0.971, 0.000], [-0.970, 7.233, 0.000], [0.000, 0.000, 10.418]],
  "species": ["Pr", "Pr", "Pr", "Pr", "Pr", "Pr", "Pr", "Pr", "Pr", "Pr", "Pr", "Pr", "Pr", "Pr", "Er", "Cd"],
  "frac_coords": [[0.375, 0.625, 0.500], [0.875, 0.125, 0.500], [0.875, 0.625, 0.000], [0.875, 0.625, 0.500], [0.375, 0.125, 0.000], [0.375, 0.125, 0.500], [0.626, 0.876, 0.755], [0.626, 0.876, 0.245], [0.124, 0.374, 0.755], [0.124, 0.374, 0.245], [0.124, 0.876, 0.756], [0.124, 0.876, 0.244], [0.626, 0.374, 0.755], [0.626, 0.374, 0.245], [0.375, 0.625, 0.000], [0.875, 0.125, 0.000]],
  "dos_ef_per_ev_atom": 1.207,
  "formation_energy_ev_per_atom": -0.02,
  "rho_g_cm3": 6.7
}

=====

{
  "formula": "PrEr5Cd6",
  "functional": "PBE",
  "state": "relaxed",
  "lattice_angstrom": [[-4.917, -1.497, 1.163], [2.296, -7.146, 0.511], [-0.936, 0.293, 8.306]],
  "species": ["Pr", "Er", "Er", "Er", "Er", "Er", "Cd", "Cd", "Cd", "Cd", "Cd", "Cd"],
  "frac_coords": [[0.000, 0.000, 0.000], [0.664, 0.500, 0.673], [0.331, 0.000, 0.337], [0.000, 0.500, 0.000], [0.669, 0.000, 0.663], [0.336, 0.500, 0.327], [0.830, 0.742, 0.341], [0.830, 0.258, 0.341], [0.500, 0.257, 0.000], [0.500, 0.743, 0.000], [0.170, 0.742, 0.659], [0.170, 0.258, 0.659]],
  "dos_ef_per_ev_atom": 1.116,
  "formation_energy_ev_per_atom": -0.31,
  "rho_g_cm3": 8.7
}

=====

{
  "formula": "Pr2Er8Cd",
  "functional": "PBE",
  "state": "relaxed",
  "lattice_angstrom": [[4.960, 0.000, 0.000], [0.000, 7.838, 0.451], [-2.480, -2.887, 8.495]],
  "species": ["Pr", "Pr", "Er", "Er", "Er", "Er", "Er", "Er", "Er", "Er", "Cd"],
  "frac_coords": [[0.778, 0.362, 0.555], [0.222, 0.638, 0.445], [0.412, 0.555, 0.824], [0.680, 0.910, 0.360], [0.867, 0.827, 0.734], [0.956, 0.278, 0.912], [0.133, 0.173, 0.266], [0.320, 0.090, 0.640], [0.588, 0.445, 0.176], [0.044, 0.722, 0.088], [0.500, 0.000, 0.000]],
  "dos_ef_per_ev_atom": 1.476,
  "formation_energy_ev_per_atom": 0.00,
  "rho_g_cm3": 8.5
}

=====

{
  "formula": "Pr2ErCd",
  "functional": "PBE",
  "state": "relaxed",
  "lattice_angstrom": [[-2.912, 0.410, -2.302], [-0.826, -3.620, 0.400], [-5.289, 1.985, 7.046]],
  "species": ["Pr", "Pr", "Cd", "Er"],
  "frac_coords": [[0.000, 0.000, 0.770], [0.000, 0.000, 0.230], [0.500, 0.500, 0.000], [0.500, 0.500, 0.500]],
  "polymorph_energy_mev_per_atom": 19,
  "dos_ef_per_ev_atom": 1.254,
  "formation_energy_ev_per_atom": -0.13,
  "rho_g_cm3": 7.4
}

=====

{
  "formula": "PrErCd17",
  "functional": "PBE",
  "state": "relaxed",
  "lattice_angstrom": [[7.608, 0.073, 0.979], [0.871, 7.558, 0.979], [0.081, 0.073, 7.670]],
  "species": ["Pr", "Er", "Cd", "Cd", "Cd", "Cd", "Cd", "Cd", "Cd", "Cd", "Cd", "Cd", "Cd", "Cd", "Cd", "Cd", "Cd", "Cd", "Cd"],
  "frac_coords": [[0.668, 0.668, 0.668], [0.324, 0.324, 0.324], [0.300, 0.003, 0.696], [0.696, 0.300, 0.003], [0.003, 0.696, 0.300], [0.300, 0.696, 0.003], [0.003, 0.300, 0.696], [0.696, 0.003, 0.300], [0.346, 0.876, 0.346], [0.346, 0.346, 0.876], [0.876, 0.346, 0.346], [0.621, 0.208, 0.621], [0.621, 0.621, 0.208], [0.208, 0.621, 0.621], [0.977, 0.525, 0.977], [0.977, 0.977, 0.525], [0.525, 0.977, 0.977], [0.909, 0.909, 0.909], [0.105, 0.105, 0.105]],
  "dos_ef_per_ev_atom": 0.277,
  "formation_energy_ev_per_atom": -0.13,
  "rho_g_cm3": 8.4
}

=====

{
  "formula": "PrEr2Cd3",
  "functional": "PBE",
  "state": "relaxed",
  "lattice_angstrom": [[3.753, 0.000, 0.000], [0.000, 3.753, 0.000], [0.000, 0.000, 11.421]],
  "species": ["Pr", "Er", "Er", "Cd", "Cd", "Cd"],
  "frac_coords": [[0.500, 0.500, 0.500], [0.500, 0.500, 0.839], [0.500, 0.500, 0.161], [0.000, 0.000, 0.000], [0.000, 0.000, 0.684], [0.000, 0.000, 0.316]],
  "polymorph_energy_mev_per_atom": 0,
  "dos_ef_per_ev_atom": 1.007,
  "formation_energy_ev_per_atom": -0.31,
  "rho_g_cm3": 8.4
}

=====

{
  "formula": "PrEr4Cd2",
  "functional": "PBE",
  "state": "relaxed",
  "lattice_angstrom": [[5.045, 0.000, 0.000], [2.523, 4.369, 0.000], [2.523, 1.456, 10.423]],
  "species": ["Pr", "Er", "Er", "Er", "Er", "Cd", "Cd"],
  "frac_coords": [[0.500, 0.500, 0.500], [0.702, 0.702, 0.895], [0.896, 0.896, 0.311], [0.298, 0.298, 0.105], [0.104, 0.104, 0.689], [0.602, 0.602, 0.195], [0.398, 0.398, 0.805]],
  "dos_ef_per_ev_atom": 1.484,
  "formation_energy_ev_per_atom": 0.21,
  "rho_g_cm3": 7.5
}